The following is a DFT calculation (PBE-GGA) of Pm3Nd9Er2 after structural relaxation.

POSCAR file:
```
Pm3Nd9Er2
1.0
2.812 -2.117 5.242
14.757 -3.209 3.480
14.833 2.341 8.217
Nd Pm Er
9 3 2
Cartesian
17.689 -1.910 7.513 Nd
14.713 -1.074 9.427 Nd
11.795 0.387 7.763 Nd
23.543 -2.040 13.194 Nd
20.627 -0.581 11.545 Nd
8.859 -0.945 3.746 Nd
14.795 -0.434 5.849 Nd
20.607 -3.372 9.177 Nd
11.775 -2.404 5.395 Nd
0.000 0.000 0.000 Pm
23.659 -1.370 9.601 Pm
8.744 -1.614 7.339 Pm
14.678 -3.867 7.056 Er
17.724 0.882 9.884 Er
```

## Properties
Total moment ... 0.00 μB per formula unit
N(E_F) ... 20.34 states/eV/cell
VASP energy ... -66.1 eV/f.u.
Energy relative to the elements ... 0.194 eV per formula unit
Space group ... P-1, No. 2